No. 1
Crystalline AcThPb2 at its relaxed geometry, computed with GGA-PBE.

Cell lengths 5.281, 5.281, 4.652 Å; angles 90.00, 90.00, 90.00 degrees
Sites, in units of the cell vectors:
1 Ac 0.000 0.000 0.000
2 Th 0.500 0.500 0.000
3 Pb 0.000 0.500 0.500
4 Pb 0.500 0.000 0.500

---

No. 2
Crystalline Ac2ThPb3 at its relaxed geometry, computed with GGA-PBE.

Cell lengths 8.247, 8.247, 9.543 Å; angles 106.81, 106.81, 48.17 degrees
Sites, in units of the cell vectors:
1 Ac 0.172 0.172 0.086
2 Ac 0.172 0.172 0.586
3 Ac 0.828 0.828 0.414
4 Ac 0.828 0.828 0.914
5 Th 0.499 0.501 0.750
6 Th 0.501 0.499 0.250
7 Pb 0.001 0.999 0.250
8 Pb 0.346 0.347 0.923
9 Pb 0.347 0.346 0.423
10 Pb 0.653 0.654 0.577
11 Pb 0.654 0.653 0.077
12 Pb 0.999 0.001 0.750

---

No. 3
Crystalline AcTh2Pb at its relaxed geometry, computed with GGA-PBE.

Cell lengths 4.249, 4.249, 7.515 Å; angles 90.00, 90.00, 90.00 degrees
Sites, in units of the cell vectors:
1 Ac 0.000 0.000 0.000
2 Th 0.500 0.500 0.288
3 Th 0.500 0.500 0.712
4 Pb 0.000 0.000 0.500

---

No. 4
Crystalline Ac5ThPb4 at its relaxed geometry, computed with GGA-PBE.

Cell lengths 9.338, 9.338, 7.741 Å; angles 91.62, 91.62, 35.85 degrees
Sites, in units of the cell vectors:
1 Ac 0.000 0.000 0.000
2 Ac 0.333 0.333 0.496
3 Ac 0.335 0.335 0.002
4 Ac 0.665 0.665 0.998
5 Ac 0.667 0.667 0.504
6 Th 0.000 0.000 0.500
7 Pb 0.172 0.172 0.747
8 Pb 0.493 0.493 0.740
9 Pb 0.507 0.507 0.260
10 Pb 0.828 0.828 0.253

---

No. 5
Crystalline AcTh2Pb at its relaxed geometry, computed with GGA-PBE.

Cell lengths 12.985, 12.985, 12.985 Å; angles 15.64, 15.64, 15.64 degrees
Sites, in units of the cell vectors:
1 Ac 0.000 0.000 0.000
2 Th 0.093 0.093 0.093
3 Th 0.907 0.907 0.907
4 Pb 0.500 0.500 0.500

---

No. 6
Crystalline Ac2ThPb at its relaxed geometry, computed with GGA-PBE.

Cell lengths 5.232, 5.232, 5.192 Å; angles 90.00, 90.00, 90.00 degrees
Sites, in units of the cell vectors:
1 Ac 0.000 0.500 0.000
2 Ac 0.500 0.000 0.000
3 Th 0.000 0.000 0.500
4 Pb 0.500 0.500 0.500

---

No. 7
Crystalline Ac3ThPb4 at its relaxed geometry, computed with GGA-PBE.

Cell lengths 8.292, 8.292, 4.797 Å; angles 90.00, 90.00, 109.56 degrees
Sites, in units of the cell vectors:
1 Ac 0.000 0.000 0.000
2 Ac 0.000 0.500 0.500
3 Ac 0.500 0.000 0.500
4 Th 0.500 0.500 0.000
5 Pb 0.259 0.741 0.000
6 Pb 0.266 0.266 0.500
7 Pb 0.734 0.734 0.500
8 Pb 0.741 0.259 0.000

---

No. 8
Crystalline Ac2Th3Pb4 at its relaxed geometry, computed with GGA-PBE.

Cell lengths 8.771, 8.772, 8.600 Å; angles 90.00, 110.98, 90.00 degrees
Sites, in units of the cell vectors:
1 Ac 0.190 0.174 0.060
2 Ac 0.190 0.326 0.560
3 Ac 0.810 0.674 0.440
4 Ac 0.810 0.826 0.940
5 Th 0.249 0.668 0.243
6 Th 0.249 0.832 0.743
7 Th 0.500 0.000 0.500
8 Th 0.500 0.500 0.000
9 Th 0.751 0.168 0.257
10 Th 0.751 0.332 0.757
11 Pb 0.086 0.537 0.844
12 Pb 0.086 0.963 0.344
13 Pb 0.490 0.137 0.862
14 Pb 0.490 0.363 0.362
15 Pb 0.510 0.637 0.638
16 Pb 0.510 0.863 0.138
17 Pb 0.914 0.037 0.656
18 Pb 0.914 0.463 0.156

---

No. 9
Crystalline Ac12ThPb6 at its relaxed geometry, computed with GGA-PBE.

Cell lengths 9.929, 9.929, 9.929 Å; angles 107.85, 107.85, 107.85 degrees
Sites, in units of the cell vectors:
1 Ac 0.023 0.330 0.882
2 Ac 0.103 0.426 0.345
3 Ac 0.118 0.977 0.670
4 Ac 0.330 0.882 0.023
5 Ac 0.345 0.103 0.426
6 Ac 0.426 0.345 0.103
7 Ac 0.574 0.655 0.897
8 Ac 0.655 0.897 0.574
9 Ac 0.670 0.118 0.977
10 Ac 0.882 0.023 0.330
11 Ac 0.897 0.574 0.655
12 Ac 0.977 0.670 0.118
13 Th 0.000 0.000 0.000
14 Pb 0.221 0.344 0.660
15 Pb 0.340 0.779 0.656
16 Pb 0.344 0.660 0.221
17 Pb 0.656 0.340 0.779
18 Pb 0.660 0.221 0.344
19 Pb 0.779 0.656 0.340

---

No. 10
Crystalline Ac5ThPb6 at its relaxed geometry, computed with GGA-PBE.

Cell lengths 8.538, 8.538, 8.153 Å; angles 100.19, 100.19, 121.42 degrees
Sites, in units of the cell vectors:
1 Ac 0.000 0.000 0.000
2 Ac 0.164 0.836 0.500
3 Ac 0.325 0.675 0.000
4 Ac 0.675 0.325 0.000
5 Ac 0.836 0.164 0.500
6 Th 0.500 0.500 0.500
7 Pb 0.103 0.423 0.262
8 Pb 0.269 0.269 0.750
9 Pb 0.423 0.103 0.262
10 Pb 0.577 0.897 0.738
11 Pb 0.731 0.731 0.250
12 Pb 0.897 0.577 0.738

---

No. 11
Crystalline Ac12ThPb7 at its relaxed geometry, computed with GGA-PBE.

Cell lengths 10.278, 10.278, 10.278 Å; angles 110.77, 110.77, 110.77 degrees
Sites, in units of the cell vectors:
1 Ac 0.000 0.272 0.728
2 Ac 0.000 0.728 0.272
3 Ac 0.168 0.493 0.493
4 Ac 0.272 0.000 0.728
5 Ac 0.272 0.728 0.000
6 Ac 0.493 0.168 0.493
7 Ac 0.493 0.493 0.168
8 Ac 0.507 0.507 0.832
9 Ac 0.507 0.832 0.507
10 Ac 0.728 0.000 0.272
11 Ac 0.728 0.272 0.000
12 Ac 0.832 0.507 0.507
13 Th 0.000 0.000 0.000
14 Pb 0.132 0.132 0.429
15 Pb 0.132 0.429 0.132
16 Pb 0.429 0.132 0.132
17 Pb 0.500 0.500 0.500
18 Pb 0.571 0.868 0.868
19 Pb 0.868 0.571 0.868
20 Pb 0.868 0.868 0.571

---

No. 12
Crystalline AcThPb6 at its relaxed geometry, computed with GGA-PBE.

Cell lengths 4.992, 4.992, 9.944 Å; angles 90.00, 90.00, 90.00 degrees
Sites, in units of the cell vectors:
1 Ac 0.000 0.000 0.000
2 Th 0.000 0.000 0.500
3 Pb 0.000 0.500 0.258
4 Pb 0.000 0.500 0.742
5 Pb 0.500 0.000 0.258
6 Pb 0.500 0.000 0.742
7 Pb 0.500 0.500 0.000
8 Pb 0.500 0.500 0.500

---

Calculated formation energy (computed, eV/atom): -0.328 -0.342 -0.047 -0.287 0.188 -0.149 -0.359 -0.417 -0.146 -0.372 -0.215 -0.315